# 1
DFT (PBE) results for a relaxed structure of TcAgPt2.

Results
ΔE to the lowest computed polymorph   0.59 eV/f.u.
Energy   -6.29 eV per atom
Crystal system   monoclinic
N(E_F)   1.068 states/eV per atom
Energy of formation   0.1 eV/f.u.
Theoretical density   15.767 g cm⁻³
Calculated volume   15.7 A^3/atom

a b c (Å): 2.795 3.948 5.689
angles (deg): 90.00 90.10 90.00
Space group P2/m (No. 10)
Inequivalent atoms, fractional coordinates:
Tc 0.000 0.000 0.000
Ag 0.000 0.000 0.500
Pt 0.498 0.500 0.765



# 2
DFT (PBE) results for a relaxed structure of Tc3AgPt.

Results
ΔE to the lowest computed polymorph   0.00 eV/f.u.
Energy   -6.05 eV per atom
Crystal system   cubic
N(E_F)   1.301 states/eV per atom
Energy of formation   9.7 eV/f.u.
Theoretical density   9.219 g cm⁻³
Calculated volume   21.5 A^3/atom

a b c (Å): 4.755 4.755 4.755
angles (deg): 90.00 90.00 90.00
Space group Pm-3m (No. 221)
Inequivalent atoms, fractional coordinates:
Tc 0.000 0.000 0.500
Ag 0.500 0.500 0.500
Pt 0.000 0.000 0.000



# 3
DFT (PBE) results for a relaxed structure of TcAg2Pt.

Results
ΔE to the lowest computed polymorph   1.18 eV/f.u.
Energy   -5.12 eV per atom
Crystal system   tetragonal
N(E_F)   1.042 states/eV per atom
Energy of formation   1.6 eV/f.u.
Theoretical density   12.927 g cm⁻³
Calculated volume   16.3 A^3/atom

a b c (Å): 4.138 4.138 7.635
angles (deg): 90.00 90.00 90.00
Space group I-4m2 (No. 119)
Inequivalent atoms, fractional coordinates:
Tc 0.000 0.000 0.000
Ag 0.000 0.000 0.500
Ag 0.000 0.500 0.750
Pt 0.000 0.500 0.250



# 4
DFT (PBE) results for a relaxed structure of TcAg3Pt.

Results
ΔE to the lowest computed polymorph   0.00 eV/f.u.
Energy   -3.56 eV per atom
Crystal system   cubic
N(E_F)   0.781 states/eV per atom
Energy of formation   7.2 eV/f.u.
Theoretical density   7.974 g cm⁻³
Calculated volume   25.7 A^3/atom

a b c (Å): 5.045 5.045 5.045
angles (deg): 90.00 90.00 90.00
Space group Pm-3m (No. 221)
Inequivalent atoms, fractional coordinates:
Tc 0.000 0.000 0.000
Ag 0.000 0.500 0.500
Pt 0.500 0.500 0.500



# 5
DFT (PBE) results for a relaxed structure of TcAgPt2.

Results
ΔE to the lowest computed polymorph   1.21 eV/f.u.
Energy   -6.13 eV per atom
Crystal system   tetragonal
N(E_F)   1.116 states/eV per atom
Energy of formation   0.8 eV/f.u.
Theoretical density   15.813 g cm⁻³
Calculated volume   15.6 A^3/atom

a b c (Å): 3.963 3.963 7.969
angles (deg): 90.00 90.00 90.00
Space group I-4m2 (No. 119)
Inequivalent atoms, fractional coordinates:
Tc 0.000 0.000 0.000
Ag 0.000 0.500 0.750
Pt 0.000 0.000 0.500
Pt 0.000 0.500 0.250



# 6
DFT (PBE) results for a relaxed structure of TcAg2Pt.

Results
ΔE to the lowest computed polymorph   1.14 eV/f.u.
Energy   -5.12 eV per atom
Crystal system   orthorhombic
N(E_F)   0.956 states/eV per atom
Energy of formation   1.6 eV/f.u.
Theoretical density   12.538 g cm⁻³
Calculated volume   16.8 A^3/atom

a b c (Å): 2.791 4.930 9.794
angles (deg): 90.00 90.00 90.00
Space group Imm2 (No. 44)
Inequivalent atoms, fractional coordinates:
Tc 0.000 0.000 0.000
Ag 0.000 0.000 0.478
Ag 0.000 0.500 0.241
Pt 0.000 0.500 0.724